<w>
VASP calculation (GGA-PBE) on a geometry-optimized Cr2Ge2P structure.

Structure (CIF):
```
data_Cr2Ge2P
_cell_length_a 6.2924
_cell_length_b 6.2924
_cell_length_c 3.5100
_cell_angle_alpha 90.00
_cell_angle_beta 90.00
_cell_angle_gamma 90.00
_space_group_name_H-M_alt 'P 4/m b m'
_space_group_IT_number 127
_space_group_name_Hall '-P 4 2ab'
loop_
_atom_site_label
_atom_site_type_symbol
_atom_site_fract_x
_atom_site_fract_y
_atom_site_fract_z
Cr1 Cr 0.1594 0.3406 0.0000
Ge1 Ge 0.1454 0.6454 0.5000
P1 P 0.0000 0.0000 0.0000
```

***

<x>
VASP calculation (GGA-PBE) on a geometry-optimized Cr2Ge2P structure.

Structure (CIF):
```
data_Cr2Ge2P
_cell_length_a 3.4511
_cell_length_b 3.4511
_cell_length_c 12.4025
_cell_angle_alpha 90.00
_cell_angle_beta 90.00
_cell_angle_gamma 90.00
_space_group_name_H-M_alt 'I 4/m m m'
_space_group_IT_number 139
_space_group_name_Hall '-I 4 2'
loop_
_atom_site_label
_atom_site_type_symbol
_atom_site_fract_x
_atom_site_fract_y
_atom_site_fract_z
Cr1 Cr 0.0000 0.0000 0.0981
Ge1 Ge 0.0000 0.5000 0.2500
P1 P 0.0000 0.0000 0.5000
```

***

Least stable: <x>

***

<w>
VASP calculation (GGA-PBE) on a geometry-optimized CrGe2P2 structure.

Structure (CIF):
```
data_CrGe2P2
_cell_length_a 3.3458
_cell_length_b 3.3458
_cell_length_c 15.5498
_cell_angle_alpha 90.00
_cell_angle_beta 90.00
_cell_angle_gamma 90.00
_space_group_name_H-M_alt 'I 4/m m m'
_space_group_IT_number 139
_space_group_name_Hall '-I 4 2'
loop_
_atom_site_label
_atom_site_type_symbol
_atom_site_fract_x
_atom_site_fract_y
_atom_site_fract_z
Cr1 Cr 0.0000 0.0000 0.0000
Ge1 Ge 0.0000 0.5000 0.2500
P1 P 0.0000 0.0000 0.4265
```

***

<x>
VASP calculation (GGA-PBE) on a geometry-optimized CrGe2P2 structure.

Structure (CIF):
```
data_CrGe2P2
_cell_length_a 5.9826
_cell_length_b 5.9826
_cell_length_c 5.1987
_cell_angle_alpha 90.00
_cell_angle_beta 90.00
_cell_angle_gamma 90.00
_space_group_name_H-M_alt 'P 4/m b m'
_space_group_IT_number 127
_space_group_name_Hall '-P 4 2ab'
loop_
_atom_site_label
_atom_site_type_symbol
_atom_site_fract_x
_atom_site_fract_y
_atom_site_fract_z
Cr1 Cr 0.0000 0.0000 0.0000
Ge1 Ge 0.1735 0.3265 0.5000
P1 P 0.1274 0.3726 0.0000
```

***

Least stable: <w>

***

<w>
VASP calculation (GGA-PBE) on a geometry-optimized Pa2CrGe structure.

Structure (CIF):
```
data_Pa2CrGe
_cell_length_a 3.0951
_cell_length_b 3.0951
_cell_length_c 29.5618
_cell_angle_alpha 90.00
_cell_angle_beta 90.00
_cell_angle_gamma 120.00
_space_group_name_H-M_alt 'R -3 m'
_space_group_IT_number 166
_space_group_name_Hall '-R 3 2"'
loop_
_atom_site_label
_atom_site_type_symbol
_atom_site_fract_x
_atom_site_fract_y
_atom_site_fract_z
Pa1 Pa 0.0000 0.0000 0.0792
Cr1 Cr 0.0000 0.0000 0.0000
Ge1 Ge 0.0000 0.0000 0.5000
```

***

<x>
VASP calculation (GGA-PBE) on a geometry-optimized Pa2CrGe structure.

Structure (CIF):
```
data_Pa2CrGe
_cell_length_a 4.2686
_cell_length_b 4.2686
_cell_length_c 4.3285
_cell_angle_alpha 90.00
_cell_angle_beta 90.00
_cell_angle_gamma 90.00
_space_group_name_H-M_alt 'P 4/m m m'
_space_group_IT_number 123
_space_group_name_Hall '-P 4 2'
loop_
_atom_site_label
_atom_site_type_symbol
_atom_site_fract_x
_atom_site_fract_y
_atom_site_fract_z
Pa1 Pa 0.0000 0.5000 0.0000
Cr1 Cr 0.0000 0.0000 0.5000
Ge1 Ge 0.5000 0.5000 0.5000
```

***

Least stable: <w>

***

<w>
VASP calculation (GGA-PBE) on a geometry-optimized Cr3GePb structure.

Structure (CIF):
```
data_Cr3GePb
_cell_length_a 4.7351
_cell_length_b 4.7351
_cell_length_c 4.7351
_cell_angle_alpha 90.00
_cell_angle_beta 90.00
_cell_angle_gamma 90.00
_space_group_name_H-M_alt 'P m -3 m'
_space_group_IT_number 221
_space_group_name_Hall '-P 4 2 3'
loop_
_atom_site_label
_atom_site_type_symbol
_atom_site_fract_x
_atom_site_fract_y
_atom_site_fract_z
Cr1 Cr 0.0000 0.0000 0.5000
Ge1 Ge 0.0000 0.0000 0.0000
Pb1 Pb 0.5000 0.5000 0.5000
```

***

<x>
VASP calculation (GGA-PBE) on a geometry-optimized Cr3GePb structure.

Structure (CIF):
```
data_Cr3GePb
_cell_length_a 5.1400
_cell_length_b 5.1400
_cell_length_c 5.1400
_cell_angle_alpha 90.00
_cell_angle_beta 90.00
_cell_angle_gamma 90.00
_space_group_name_H-M_alt 'P m -3 m'
_space_group_IT_number 221
_space_group_name_Hall '-P 4 2 3'
loop_
_atom_site_label
_atom_site_type_symbol
_atom_site_fract_x
_atom_site_fract_y
_atom_site_fract_z
Cr1 Cr 0.0000 0.0000 0.5000
Ge1 Ge 0.5000 0.5000 0.5000
Pb1 Pb 0.0000 0.0000 0.0000
```

***

Least stable: <x>

***

<w>
VASP calculation (GGA-PBE) on a geometry-optimized CrGePdPt structure.

Structure (CIF):
```
data_CrGePdPt
_cell_length_a 8.8573
_cell_length_b 3.8725
_cell_length_c 3.9267
_cell_angle_alpha 90.00
_cell_angle_beta 116.19
_cell_angle_gamma 90.00
_space_group_name_H-M_alt 'C 1 m 1'
_space_group_IT_number 8
loop_
_space_group_symop_operation_xyz
'x,y,z'
'x,-y,z'
'x+1/2,y+1/2,z'
'x+1/2,-y+1/2,z'
loop_
_atom_site_label
_atom_site_type_symbol
_atom_site_fract_x
_atom_site_fract_y
_atom_site_fract_z
Cr1 Cr 0.0000 0.0000 0.0000
Ge1 Ge 0.2521 0.0000 0.7518
Pd1 Pd 0.0036 0.5000 0.5040
Pt1 Pt 0.2519 0.5000 0.2518
```

***

<x>
VASP calculation (GGA-PBE) on a geometry-optimized CrGePdPt structure.

Structure (CIF):
```
data_CrGePdPt
_cell_length_a 3.2721
_cell_length_b 4.6843
_cell_length_c 4.9167
_cell_angle_alpha 88.63
_cell_angle_beta 70.70
_cell_angle_gamma 69.63
_space_group_name_H-M_alt 'P 1'
_space_group_IT_number 1
loop_
_space_group_symop_operation_xyz
'x,y,z'
loop_
_atom_site_label
_atom_site_type_symbol
_atom_site_fract_x
_atom_site_fract_y
_atom_site_fract_z
Cr1 Cr 0.0000 0.0000 0.0000
Ge1 Ge 0.5089 0.3684 0.6196
Pd1 Pd 0.1886 0.4563 0.1695
Pt1 Pt 0.3165 0.9217 0.4497
```

***

Least stable: <x>

***

<w>
VASP calculation (GGA-PBE) on a geometry-optimized CrGePdPt structure.

Structure (CIF):
```
data_CrGePdPt
_cell_length_a 3.8490
_cell_length_b 2.8295
_cell_length_c 10.7255
_cell_angle_alpha 90.00
_cell_angle_beta 90.00
_cell_angle_gamma 90.00
_space_group_name_H-M_alt 'A m m 2'
_space_group_IT_number 38
loop_
_space_group_symop_operation_xyz
'x,y,z'
'-x,-y,z'
'-x,y,z'
'x,-y,z'
'x,y+1/2,z+1/2'
'-x,-y+1/2,z+1/2'
'-x,y+1/2,z+1/2'
'x,-y+1/2,z+1/2'
loop_
_atom_site_label
_atom_site_type_symbol
_atom_site_fract_x
_atom_site_fract_y
_atom_site_fract_z
Cr1 Cr 0.0000 0.0000 0.0000
Ge1 Ge 0.5000 0.0000 0.1457
Pd1 Pd 0.0000 0.0000 0.7424
Pt1 Pt 0.5000 0.0000 0.3962
```

***

<x>
VASP calculation (GGA-PBE) on a geometry-optimized CrGePdPt structure.

Structure (CIF):
```
data_CrGePdPt
_cell_length_a 3.7678
_cell_length_b 2.7765
_cell_length_c 5.6621
_cell_angle_alpha 90.00
_cell_angle_beta 96.40
_cell_angle_gamma 90.00
_space_group_name_H-M_alt 'P 1 m 1'
_space_group_IT_number 6
loop_
_space_group_symop_operation_xyz
'x,y,z'
'x,-y,z'
loop_
_atom_site_label
_atom_site_type_symbol
_atom_site_fract_x
_atom_site_fract_y
_atom_site_fract_z
Cr1 Cr 0.0000 0.0000 0.0000
Ge1 Ge 0.4203 0.5000 0.2832
Pd1 Pd 0.9197 0.0000 0.5036
Pt1 Pt 0.4680 0.5000 0.8034
```

***

<y>
VASP calculation (GGA-PBE) on a geometry-optimized CrGePdPt structure.

Structure (CIF):
```
data_CrGePdPt
_cell_length_a 3.8156
_cell_length_b 3.9774
_cell_length_c 3.9910
_cell_angle_alpha 90.00
_cell_angle_beta 90.00
_cell_angle_gamma 90.00
_space_group_name_H-M_alt 'P m m m'
_space_group_IT_number 47
loop_
_space_group_symop_operation_xyz
'x,y,z'
'-x,-y,-z'
'-x,-y,z'
'x,y,-z'
'x,-y,-z'
'-x,y,z'
'-x,y,-z'
'x,-y,z'
loop_
_atom_site_label
_atom_site_type_symbol
_atom_site_fract_x
_atom_site_fract_y
_atom_site_fract_z
Cr1 Cr 0.0000 0.0000 0.0000
Ge1 Ge 0.0000 0.5000 0.5000
Pd1 Pd 0.5000 0.5000 0.0000
Pt1 Pt 0.5000 0.0000 0.5000
```

***

Least stable: <x>

***

<w>
VASP calculation (GGA-PBE) on a geometry-optimized CrGePt3 structure.

Structure (CIF):
```
data_CrGePt3
_cell_length_a 4.6223
_cell_length_b 4.6223
_cell_length_c 4.6223
_cell_angle_alpha 90.00
_cell_angle_beta 90.00
_cell_angle_gamma 90.00
_space_group_name_H-M_alt 'P m -3 m'
_space_group_IT_number 221
_space_group_name_Hall '-P 4 2 3'
loop_
_atom_site_label
_atom_site_type_symbol
_atom_site_fract_x
_atom_site_fract_y
_atom_site_fract_z
Cr1 Cr 0.0000 0.0000 0.0000
Ge1 Ge 0.5000 0.5000 0.5000
Pt1 Pt 0.0000 0.0000 0.5000
```

***

<x>
VASP calculation (GGA-PBE) on a geometry-optimized CrGePt3 structure.

Structure (CIF):
```
data_CrGePt3
_cell_length_a 4.6383
_cell_length_b 4.6383
_cell_length_c 4.6383
_cell_angle_alpha 90.00
_cell_angle_beta 90.00
_cell_angle_gamma 90.00
_space_group_name_H-M_alt 'P m -3 m'
_space_group_IT_number 221
_space_group_name_Hall '-P 4 2 3'
loop_
_atom_site_label
_atom_site_type_symbol
_atom_site_fract_x
_atom_site_fract_y
_atom_site_fract_z
Cr1 Cr 0.0000 0.0000 0.0000
Ge1 Ge 0.5000 0.5000 0.5000
Pt1 Pt 0.0000 0.5000 0.5000
```

***

Least stable: <w>

***

<w>
VASP calculation (GGA-PBE) on a geometry-optimized Cr3GePt structure.

Structure (CIF):
```
data_Cr3GePt
_cell_length_a 4.8374
_cell_length_b 4.8374
_cell_length_c 4.8374
_cell_angle_alpha 90.00
_cell_angle_beta 90.00
_cell_angle_gamma 90.00
_space_group_name_H-M_alt 'P m -3 m'
_space_group_IT_number 221
_space_group_name_Hall '-P 4 2 3'
loop_
_atom_site_label
_atom_site_type_symbol
_atom_site_fract_x
_atom_site_fract_y
_atom_site_fract_z
Cr1 Cr 0.0000 0.0000 0.5000
Ge1 Ge 0.5000 0.5000 0.5000
Pt1 Pt 0.0000 0.0000 0.0000
```

***

<x>
VASP calculation (GGA-PBE) on a geometry-optimized Cr3GePt structure.

Structure (CIF):
```
data_Cr3GePt
_cell_length_a 4.6344
_cell_length_b 4.6344
_cell_length_c 4.6344
_cell_angle_alpha 90.00
_cell_angle_beta 90.00
_cell_angle_gamma 90.00
_space_group_name_H-M_alt 'P m -3 m'
_space_group_IT_number 221
_space_group_name_Hall '-P 4 2 3'
loop_
_atom_site_label
_atom_site_type_symbol
_atom_site_fract_x
_atom_site_fract_y
_atom_site_fract_z
Cr1 Cr 0.0000 0.0000 0.5000
Ge1 Ge 0.0000 0.0000 0.0000
Pt1 Pt 0.5000 0.5000 0.5000
```

***

Least stable: <w>

***

<w>
VASP calculation (GGA-PBE) on a geometry-optimized RbCr3Ge structure.

Structure (CIF):
```
data_RbCr3Ge
_cell_length_a 5.4454
_cell_length_b 5.4454
_cell_length_c 5.4454
_cell_angle_alpha 90.00
_cell_angle_beta 90.00
_cell_angle_gamma 90.00
_space_group_name_H-M_alt 'P m -3 m'
_space_group_IT_number 221
_space_group_name_Hall '-P 4 2 3'
loop_
_atom_site_label
_atom_site_type_symbol
_atom_site_fract_x
_atom_site_fract_y
_atom_site_fract_z
Rb1 Rb 0.0000 0.0000 0.0000
Cr1 Cr 0.0000 0.0000 0.5000
Ge1 Ge 0.5000 0.5000 0.5000
```

***

<x>
VASP calculation (GGA-PBE) on a geometry-optimized RbCr3Ge structure.

Structure (CIF):
```
data_RbCr3Ge
_cell_length_a 5.1228
_cell_length_b 5.1228
_cell_length_c 5.1228
_cell_angle_alpha 90.00
_cell_angle_beta 90.00
_cell_angle_gamma 90.00
_space_group_name_H-M_alt 'P m -3 m'
_space_group_IT_number 221
_space_group_name_Hall '-P 4 2 3'
loop_
_atom_site_label
_atom_site_type_symbol
_atom_site_fract_x
_atom_site_fract_y
_atom_site_fract_z
Rb1 Rb 0.0000 0.0000 0.0000
Cr1 Cr 0.0000 0.5000 0.5000
Ge1 Ge 0.5000 0.5000 0.5000
```

***

Least stable: <w>

***

<w>
VASP calculation (GGA-PBE) on a geometry-optimized Cr2ReGe2 structure.

Structure (CIF):
```
data_Cr2ReGe2
_cell_length_a 3.3768
_cell_length_b 3.3768
_cell_length_c 12.7596
_cell_angle_alpha 90.00
_cell_angle_beta 90.00
_cell_angle_gamma 90.00
_space_group_name_H-M_alt 'I 4/m m m'
_space_group_IT_number 139
_space_group_name_Hall '-I 4 2'
loop_
_atom_site_label
_atom_site_type_symbol
_atom_site_fract_x
_atom_site_fract_y
_atom_site_fract_z
Cr1 Cr 0.0000 0.0000 0.0997
Re1 Re 0.0000 0.0000 0.5000
Ge1 Ge 0.0000 0.5000 0.2500
```

***

<x>
VASP calculation (GGA-PBE) on a geometry-optimized Cr2ReGe2 structure.

Structure (CIF):
```
data_Cr2ReGe2
_cell_length_a 6.6484
_cell_length_b 6.6484
_cell_length_c 3.1534
_cell_angle_alpha 90.00
_cell_angle_beta 90.00
_cell_angle_gamma 90.00
_space_group_name_H-M_alt 'P 4/m b m'
_space_group_IT_number 127
_space_group_name_Hall '-P 4 2ab'
loop_
_atom_site_label
_atom_site_type_symbol
_atom_site_fract_x
_atom_site_fract_y
_atom_site_fract_z
Cr1 Cr 0.1227 0.3773 0.0000
Re1 Re 0.0000 0.0000 0.0000
Ge1 Ge 0.1759 0.6759 0.5000
```

***

<y>
VASP calculation (GGA-PBE) on a geometry-optimized Cr2ReGe2 structure.

Structure (CIF):
```
data_Cr2ReGe2
_cell_length_a 6.8555
_cell_length_b 6.8555
_cell_length_c 2.9546
_cell_angle_alpha 90.00
_cell_angle_beta 90.00
_cell_angle_gamma 90.00
_space_group_name_H-M_alt 'P 4/m b m'
_space_group_IT_number 127
_space_group_name_Hall '-P 4 2ab'
loop_
_atom_site_label
_atom_site_type_symbol
_atom_site_fract_x
_atom_site_fract_y
_atom_site_fract_z
Cr1 Cr 0.1568 0.3432 0.0000
Re1 Re 0.0000 0.0000 0.5000
Ge1 Ge 0.1422 0.6422 0.5000
```

***

Least stable: <w>

***

<w>
VASP calculation (GGA-PBE) on a geometry-optimized CrGeRh3 structure.

Structure (CIF):
```
data_CrGeRh3
_cell_length_a 4.4657
_cell_length_b 4.4657
_cell_length_c 4.4657
_cell_angle_alpha 90.00
_cell_angle_beta 90.00
_cell_angle_gamma 90.00
_space_group_name_H-M_alt 'P m -3 m'
_space_group_IT_number 221
_space_group_name_Hall '-P 4 2 3'
loop_
_atom_site_label
_atom_site_type_symbol
_atom_site_fract_x
_atom_site_fract_y
_atom_site_fract_z
Cr1 Cr 0.0000 0.0000 0.0000
Ge1 Ge 0.5000 0.5000 0.5000
Rh1 Rh 0.0000 0.0000 0.5000
```

***

<x>
VASP calculation (GGA-PBE) on a geometry-optimized CrGeRh3 structure.

Structure (CIF):
```
data_CrGeRh3
_cell_length_a 4.4770
_cell_length_b 4.4770
_cell_length_c 4.4770
_cell_angle_alpha 90.00
_cell_angle_beta 90.00
_cell_angle_gamma 90.00
_space_group_name_H-M_alt 'P m -3 m'
_space_group_IT_number 221
_space_group_name_Hall '-P 4 2 3'
loop_
_atom_site_label
_atom_site_type_symbol
_atom_site_fract_x
_atom_site_fract_y
_atom_site_fract_z
Cr1 Cr 0.0000 0.0000 0.0000
Ge1 Ge 0.5000 0.5000 0.5000
Rh1 Rh 0.0000 0.5000 0.5000
```

***

Least stable: <x>

***

<w>
VASP calculation (GGA-PBE) on a geometry-optimized CrGe2Ru structure.

Structure (CIF):
```
data_CrGe2Ru
_cell_length_a 6.7603
_cell_length_b 6.7603
_cell_length_c 5.6870
_cell_angle_alpha 90.00
_cell_angle_beta 90.00
_cell_angle_gamma 90.00
_space_group_name_H-M_alt 'I -4 2 d'
_space_group_IT_number 122
_space_group_name_Hall 'I -4 2bw'
loop_
_atom_site_label
_atom_site_type_symbol
_atom_site_fract_x
_atom_site_fract_y
_atom_site_fract_z
Cr1 Cr 0.0000 0.0000 0.0000
Ge1 Ge 0.2417 0.2500 0.6250
Ru1 Ru 0.0000 0.0000 0.5000
```

***

<x>
VASP calculation (GGA-PBE) on a geometry-optimized CrGe2Ru structure.

Structure (CIF):
```
data_CrGe2Ru
_cell_length_a 6.0922
_cell_length_b 6.0922
_cell_length_c 6.0922
_cell_angle_alpha 90.00
_cell_angle_beta 90.00
_cell_angle_gamma 90.00
_space_group_name_H-M_alt 'F m -3 m'
_space_group_IT_number 225
_space_group_name_Hall '-F 4 2 3'
loop_
_atom_site_label
_atom_site_type_symbol
_atom_site_fract_x
_atom_site_fract_y
_atom_site_fract_z
Cr1 Cr 0.0000 0.0000 0.0000
Ge1 Ge 0.2500 0.2500 0.2500
Ru1 Ru 0.0000 0.0000 0.5000
```

***

Least stable: <w>